## Ac3AlNi8 (PBE)

Data for an optimized crystal structure of Ac3AlNi8.

CIF file:
```
data_Ac3AlNi8
_cell_length_a 5.2478
_cell_length_b 5.2478
_cell_length_c 9.0384
_cell_angle_alpha 73.12
_cell_angle_beta 73.12
_cell_angle_gamma 60.00
_space_group_name_H-M_alt 'P 1'
_space_group_IT_number 1
_space_group_name_Hall 'P 1'
loop_
_atom_site_label
_atom_site_type_symbol
_atom_site_fract_x
_atom_site_fract_y
_atom_site_fract_z
_atom_site_occupancy
Al1 Al 0.8592 0.8592 0.4223 1
Ni1 Ni 0.4345 0.4345 0.1902 1
Ni2 Ni 0.6892 0.6892 0.9324 1
Ni3 Ni 0.9408 0.4345 0.1902 1
Ni4 Ni 0.1901 0.1901 0.4297 1
Ni5 Ni 0.9408 0.9408 0.6725 1
Ac1 Ac 0.9877 0.9877 0.0368 1
Ni6 Ni 0.4459 0.9408 0.6725 1
Ac2 Ac 0.5081 0.5081 0.4757 1
Ac3 Ac 0.3784 0.3784 0.8649 1
Ni7 Ni 0.9408 0.4459 0.6725 1
Ni8 Ni 0.4345 0.9408 0.1902 1
```

Space-group type: R3m
DOS at the Fermi energy, states/eV/atom: 0.6272
Crystal system: trigonal
Formation energy from the elements, eV per atom: -0.189